First-principles (PBE-GGA) data for a relaxed NbWC crystal, as listed in Alexandria via LeMat-Bulk.

The structure in CIF format:
```
data_NbWC
_chemical_formula_sum 'Nb1 W1 C1'
_space_group_name_H-M_alt 'P 1 m 1'
_space_group_IT_number 6
_cell_length_a 2.926
_cell_length_b 3.090
_cell_length_c 4.646
_cell_angle_alpha 90.00
_cell_angle_beta 108.35
_cell_angle_gamma 90.00
loop_
_space_group_symop_operation_xyz
'x,y,z'
'x,-y,z'
loop_
_atom_site_label
_atom_site_type_symbol
_atom_site_fract_x
_atom_site_fract_y
_atom_site_fract_z
Nb1 Nb 0.000 0.000 0.000
W1 W 0.740 0.500 0.450
C1 C 0.306 0.000 0.590
```

Energy relative to the elements (eV/atom): 0.01
Calculated density (g cm⁻³): 12.0